CoBiF2 GGA-PBEsol optimized geometry; space-group type = R-3m; offset from the most stable computed form = 0 meV/atom; M_tot = 2.8 μB/f.u.; Fermi-level density of states = 5.35 states/eV/f.u.; ΔE_f (raw) = -1016 meV/atom
1.0
-1.228 -2.949 -0.041
1.804 -2.469 -0.926
2.550 -2.890 7.165
Co Bi F
1 1 2
Cartesian
1.564 -4.154 3.099 Co
0.000 0.000 0.000 Bi
1.471 -5.829 1.874 F
1.656 -2.479 4.325 F